[1]
## Ac4Tl3Rh (PBE)

Data for a relaxed Ac4Tl3Rh crystal.

Properties
Its crystal system is tetragonal. The formation energy is -0.40 eV per atom. For the density of states at the Fermi level, the calculation gives 0.877 states/eV/atom.

Unit cell a=3.8457 b=3.8457 c=17.6398 alpha=90.00 beta=90.00 gamma=90.00
Closest atoms and distances in Å follow each position.
Fractional coordinates of all 8 atoms:
Ac 0.0000 0.0000 0.9001  4 Rh 3.24, 1 Ac 3.52
Ac 0.0000 0.0000 0.0999  4 Rh 3.24, 1 Ac 3.52
Ac 0.0000 0.0000 0.3671  8 Tl 3.54-3.59, 4 Ac 3.85
Ac 0.0000 0.0000 0.6329  8 Tl 3.54-3.59, 4 Ac 3.85
Rh 0.5000 0.5000 0.0000  8 Ac 3.24
Tl 0.5000 0.5000 0.2388  8 Ac 3.54-3.66, 4 Tl 3.85
Tl 0.5000 0.5000 0.5000  8 Ac 3.59, 4 Tl 3.85
Tl 0.5000 0.5000 0.7612  8 Ac 3.54-3.66, 4 Tl 3.85

[2]
## Er3GaO6 (PBE)

Data for a relaxed Er3GaO6 crystal.

Properties
The uncorrected formation energy is -3.203 eV per atom. Its crystal system is orthorhombic. For the density of states at the Fermi level, the calculation gives 0.000 states/eV/atom.

Unit cell a=7.0748 b=7.0748 c=5.3914 alpha=90.00 beta=90.00 gamma=102.83
Closest atoms and distances in Å follow each position.
Fractional coordinates of all 20 atoms:
Er 0.3984 0.6016 0.0701  7 O 2.25-2.41
Er 0.6016 0.3984 0.5701  7 O 2.25-2.41
Er 0.9121 0.7012 0.0216  5 O 2.19-2.37
Er 0.0879 0.2988 0.5216  5 O 2.19-2.37
Er 0.2988 0.0879 0.0216  5 O 2.19-2.37
Er 0.7012 0.9121 0.5216  5 O 2.19-2.37
Ga 0.1934 0.8066 0.4914  4 O 1.85-1.89
Ga 0.8066 0.1934 0.9914  4 O 1.85-1.89
O 0.2157 0.7843 0.8319  1 Ga 1.85
O 0.7843 0.2157 0.3319  1 Ga 1.85
O 0.0383 0.9617 0.3440  1 Ga 1.89
O 0.9617 0.0383 0.8440  1 Ga 1.89
O 0.6774 0.6434 0.2950  4 Er 2.19-2.28
O 0.3226 0.3566 0.7950  4 Er 2.19-2.28
O 0.3566 0.3226 0.2950  4 Er 2.19-2.28
O 0.6434 0.6774 0.7950  4 Er 2.19-2.28
O 0.5760 0.1058 0.8098  1 Ga 1.89
O 0.4240 0.8942 0.3098  1 Ga 1.89
O 0.8942 0.4240 0.8098  1 Ga 1.89
O 0.1058 0.5760 0.3098  1 Ga 1.89

[3]
## CuHPtAu2 (PBE)

Data for a relaxed CuHPtAu2 crystal.

Properties
Its total energy is -3.910 eV per atom. Its crystal system is tetragonal. For the density of states at the Fermi level, the calculation gives 0.262 states/eV/atom.

Unit cell a=4.3035 b=4.3035 c=3.6972 alpha=90.00 beta=90.00 gamma=90.00
Closest atoms and distances in Å follow each position.
Fractional coordinates of all 5 atoms:
H 0.0000 0.0000 0.0000  2 Pt 1.85
Au 0.0000 0.5000 0.0000  2 H 2.15
Au 0.5000 0.0000 0.0000  2 H 2.15
Cu 0.5000 0.5000 0.5000  8 Au 2.84, 4 Pt 3.04
Pt 0.0000 0.0000 0.5000  2 H 1.85